(1)
A geometry-optimized Ce7SbOs2 structure, computed with PBE.

**DOS at the Fermi energy**: 27.6 states/eV/f.u.
**Energy relative to the elements, uncorrected**: -123 meV per atom
**E**: -6.935 eV per atom

Cell lengths 7.943, 7.943, 5.147 Å; angles 90.00, 90.00, 107.92 degrees
Atoms (fractional coordinates):
Ce 0.000 0.000 0.000
Ce 0.200 0.420 0.000
Ce 0.230 0.770 0.500
Ce 0.420 0.200 0.000
Ce 0.580 0.800 0.000
Ce 0.770 0.230 0.500
Ce 0.800 0.580 0.000
Sb 0.500 0.500 0.500
Os 0.202 0.798 0.000
Os 0.798 0.202 0.000

=====

(2)
A geometry-optimized Ce4SbOs2 structure, computed with PBE.

**DOS at the Fermi energy**: 15.4 states/eV/f.u.
**Energy relative to the elements, uncorrected**: -372 meV per atom
**E**: -7.560 eV per atom

Cell lengths 6.941, 7.052, 8.583 Å; angles 107.92, 107.42, 104.79 degrees
Atoms (fractional coordinates):
Ce 0.000 0.000 0.000
Ce 0.048 0.737 0.602
Ce 0.318 0.165 0.471
Ce 0.380 0.571 0.268
Ce 0.471 0.618 0.868
Ce 0.539 0.185 0.003
Ce 0.782 0.129 0.400
Ce 0.935 0.435 0.870
Sb 0.595 0.922 0.657
Sb 0.874 0.700 0.213
Os 0.005 0.361 0.259
Os 0.169 0.205 0.772
Os 0.332 0.869 0.100
Os 0.681 0.538 0.612

=====

(3)
A geometry-optimized Ce6Sb3Os structure, computed with PBE.

**DOS at the Fermi energy**: 30.8 states/eV/f.u.
**Energy relative to the elements, uncorrected**: -581 meV per atom
**E**: -6.501 eV per atom

Cell lengths 5.988, 8.636, 12.629 Å; angles 90.00, 118.01, 90.00 degrees
Atoms (fractional coordinates):
Ce 0.009 0.177 0.447
Ce 0.009 0.323 0.947
Ce 0.339 0.022 0.230
Ce 0.339 0.478 0.730
Ce 0.357 0.647 0.441
Ce 0.357 0.853 0.941
Ce 0.643 0.147 0.059
Ce 0.643 0.353 0.559
Ce 0.661 0.522 0.270
Ce 0.661 0.978 0.770
Ce 0.991 0.677 0.053
Ce 0.991 0.823 0.553
Sb 0.147 0.136 0.746
Sb 0.147 0.364 0.246
Sb 0.500 0.000 0.500
Sb 0.500 0.500 0.000
Sb 0.853 0.636 0.754
Sb 0.853 0.864 0.254
Os 0.000 0.000 0.000
Os 0.000 0.500 0.500

=====

(4)
A geometry-optimized Ce12SbOs6 structure, computed with PBE.

**DOS at the Fermi energy**: 45.6 states/eV/f.u.
**Energy relative to the elements, uncorrected**: -47 meV per atom
**E**: -7.558 eV per atom

Cell lengths 8.525, 8.525, 8.525 Å; angles 108.61, 108.61, 108.61 degrees
Atoms (fractional coordinates):
Ce 0.000 0.381 0.619
Ce 0.000 0.619 0.381
Ce 0.094 0.094 0.357
Ce 0.094 0.357 0.094
Ce 0.357 0.094 0.094
Ce 0.381 0.000 0.619
Ce 0.381 0.619 0.000
Ce 0.619 0.000 0.381
Ce 0.619 0.381 0.000
Ce 0.643 0.906 0.906
Ce 0.906 0.643 0.906
Ce 0.906 0.906 0.643
Sb 0.500 0.500 0.500
Os 0.183 0.774 0.774
Os 0.226 0.226 0.817
Os 0.226 0.817 0.226
Os 0.774 0.183 0.774
Os 0.774 0.774 0.183
Os 0.817 0.226 0.226

=====

(5)
A geometry-optimized Ce4SbOs structure, computed with PBE.

**DOS at the Fermi energy**: 17.3 states/eV/f.u.
**Energy relative to the elements, uncorrected**: -407 meV per atom
**E**: -6.922 eV per atom
**Distance to the lowest polymorph of the same formula**: 0.0 meV per atom

Cell lengths 5.698, 6.565, 8.643 Å; angles 90.00, 102.51, 90.00 degrees
Atoms (fractional coordinates):
Ce 0.156 0.250 0.050
Ce 0.211 0.750 0.375
Ce 0.337 0.530 0.763
Ce 0.337 0.970 0.763
Ce 0.663 0.030 0.237
Ce 0.663 0.470 0.237
Ce 0.789 0.250 0.625
Ce 0.844 0.750 0.950
Sb 0.225 0.250 0.425
Sb 0.775 0.750 0.575
Os 0.311 0.750 0.077
Os 0.689 0.250 0.923

=====

(6)
A geometry-optimized CeScOs structure, computed with PBE.

**DOS at the Fermi energy**: 6.2 states/eV/f.u.
**E**: -8.064 eV per atom
**Formation energy**: -233 meV/atom
**Distance to the lowest polymorph of the same formula**: 1.4 meV per atom

Cell lengths 4.492, 4.492, 6.678 Å; angles 90.00, 90.00, 90.00 degrees
Atoms (fractional coordinates):
Ce 0.250 0.250 0.123
Ce 0.750 0.750 0.877
Sc 0.250 0.750 0.500
Sc 0.750 0.250 0.500
Os 0.250 0.250 0.751
Os 0.750 0.750 0.249

=====

(7)
A geometry-optimized Ce2ScOs2 structure, computed with PBE.

**DOS at the Fermi energy**: 7.3 states/eV/f.u.
**E**: -8.345 eV per atom
**Formation energy**: -213 meV/atom

Cell lengths 5.502, 5.502, 5.502 Å; angles 132.10, 113.41, 86.12 degrees
Atoms (fractional coordinates):
Ce 0.196 0.196 0.000
Ce 0.804 0.804 0.000
Sc 0.500 0.000 0.500
Os 0.239 0.500 0.739
Os 0.761 0.500 0.261

=====

(8)
A geometry-optimized CeScOs structure, computed with PBE.

**DOS at the Fermi energy**: 4.4 states/eV/f.u.
**E**: -8.057 eV per atom
**Formation energy**: -226 meV/atom
**Distance to the lowest polymorph of the same formula**: 8.3 meV per atom

Cell lengths 6.863, 6.863, 6.863 Å; angles 152.65, 152.65, 39.07 degrees
Atoms (fractional coordinates):
Ce 0.000 0.000 0.000
Sc 0.739 0.739 0.000
Os 0.358 0.358 0.000

=====

(9)
A geometry-optimized CeScOs structure, computed with PBE.

**DOS at the Fermi energy**: 5.7 states/eV/f.u.
**E**: -7.996 eV per atom
**Formation energy**: -164 meV/atom
**Distance to the lowest polymorph of the same formula**: 69.6 meV per atom

Cell lengths 4.666, 4.666, 4.666 Å; angles 60.00, 60.00, 60.00 degrees
Atoms (fractional coordinates):
Ce 0.000 0.000 0.000
Sc 0.500 0.500 0.500
Os 0.750 0.750 0.750

=====

(10)
A geometry-optimized CeSc2Os2 structure, computed with PBE.

**DOS at the Fermi energy**: 3.8 states/eV/f.u.
**E**: -8.487 eV per atom
**Formation energy**: -276 meV/atom

Cell lengths 4.613, 4.613, 5.694 Å; angles 90.00, 90.00, 120.00 degrees
Atoms (fractional coordinates):
Ce 0.000 0.000 0.000
Sc 0.333 0.667 0.645
Sc 0.667 0.333 0.355
Os 0.333 0.667 0.156
Os 0.667 0.333 0.844

=====

(11)
A geometry-optimized Ce3Sc2Os3 structure, computed with PBE.

**DOS at the Fermi energy**: 10.3 states/eV/f.u.
**E**: -8.276 eV per atom
**Formation energy**: -257 meV/atom

Cell lengths 6.228, 6.228, 14.990 Å; angles 90.00, 90.00, 142.11 degrees
Atoms (fractional coordinates):
Ce 0.041 0.959 0.628
Ce 0.041 0.959 0.872
Ce 0.322 0.678 0.750
Ce 0.678 0.322 0.250
Ce 0.959 0.041 0.128
Ce 0.959 0.041 0.372
Sc 0.239 0.761 0.076
Sc 0.239 0.761 0.424
Sc 0.761 0.239 0.576
Sc 0.761 0.239 0.924
Os 0.343 0.657 0.250
Os 0.410 0.590 0.553
Os 0.410 0.590 0.947
Os 0.590 0.410 0.053
Os 0.590 0.410 0.447
Os 0.657 0.343 0.750

=====

(12)
A geometry-optimized Ce5ScOs4 structure, computed with PBE.

**DOS at the Fermi energy**: 15.3 states/eV/f.u.
**E**: -8.263 eV per atom
**Formation energy**: -171 meV/atom

Cell lengths 7.876, 7.876, 6.558 Å; angles 94.19, 94.19, 34.18 degrees
Atoms (fractional coordinates):
Ce 0.000 0.000 0.000
Ce 0.330 0.330 0.004
Ce 0.335 0.335 0.459
Ce 0.665 0.665 0.541
Ce 0.670 0.670 0.996
Sc 0.000 0.000 0.500
Os 0.155 0.155 0.262
Os 0.495 0.495 0.748
Os 0.505 0.505 0.252
Os 0.845 0.845 0.738

=====

(13)
A geometry-optimized CeSc2Os structure, computed with PBE.

**DOS at the Fermi energy**: 5.8 states/eV/f.u.
**E**: -7.687 eV per atom
**Formation energy**: -230 meV/atom

Cell lengths 3.232, 3.232, 8.612 Å; angles 90.00, 90.00, 90.00 degrees
Atoms (fractional coordinates):
Ce 0.000 0.000 0.000
Sc 0.500 0.500 0.321
Sc 0.500 0.500 0.679
Os 0.000 0.000 0.500

=====

(14)
A geometry-optimized CeScOs structure, computed with PBE.

**DOS at the Fermi energy**: 5.0 states/eV/f.u.
**E**: -8.066 eV per atom
**Formation energy**: -234 meV/atom
**Distance to the lowest polymorph of the same formula**: 0.0 meV per atom

Cell lengths 4.177, 6.036, 6.325 Å; angles 71.20, 70.86, 69.81 degrees
Atoms (fractional coordinates):
Ce 0.078 0.185 0.158
Ce 0.922 0.815 0.842
Sc 0.314 0.297 0.576
Sc 0.686 0.703 0.424
Os 0.349 0.643 0.157
Os 0.651 0.357 0.843

=====

(15)
A geometry-optimized CeSc2Os structure, computed with PBE.

**DOS at the Fermi energy**: 7.9 states/eV/f.u.
**E**: -7.685 eV per atom
**Formation energy**: -229 meV/atom

Cell lengths 5.978, 5.978, 8.700 Å; angles 90.00, 90.00, 143.00 degrees
Atoms (fractional coordinates):
Ce 0.069 0.931 0.750
Ce 0.931 0.069 0.250
Sc 0.352 0.648 0.567
Sc 0.352 0.648 0.933
Sc 0.648 0.352 0.067
Sc 0.648 0.352 0.433
Os 0.257 0.743 0.250
Os 0.743 0.257 0.750

=====

(16)
A geometry-optimized CeScSi2Os structure, computed with PBE.

**DOS at the Fermi energy**: 5.0 states/eV/f.u.
**Energy relative to the elements, uncorrected**: -692 meV per atom
**E**: -7.560 eV per atom

Cell lengths 6.266, 6.266, 6.266 Å; angles 141.98, 141.98, 54.86 degrees
Atoms (fractional coordinates):
Ce 0.000 0.000 0.000
Sc 0.250 0.750 0.500
Si 0.393 0.393 0.000
Si 0.607 0.607 0.000
Os 0.750 0.250 0.500

=====

(17)
A geometry-optimized CeScTcOs structure, computed with PBE.

**DOS at the Fermi energy**: 2.3 states/eV/f.u.
**E**: -8.670 eV per atom
**Formation energy**: -204 meV/atom

Cell lengths 4.720, 4.720, 4.720 Å; angles 60.00, 60.00, 60.00 degrees
Atoms (fractional coordinates):
Ce 0.000 0.000 0.000
Sc 0.500 0.500 0.500
Tc 0.250 0.250 0.250
Os 0.750 0.750 0.750

=====

(18)
A geometry-optimized CeTmScOs structure, computed with PBE.

**DOS at the Fermi energy**: 6.8 states/eV/f.u.
**E**: -7.006 eV per atom
**Formation energy**: -14 meV/atom

Cell lengths 5.003, 5.003, 5.003 Å; angles 60.00, 60.00, 60.00 degrees
Atoms (fractional coordinates):
Ce 0.000 0.000 0.000
Tm 0.500 0.500 0.500
Sc 0.750 0.750 0.750
Os 0.250 0.250 0.250

=====

(19)
A geometry-optimized Ce5OsSe4 structure, computed with PBE.

**DOS at the Fermi energy**: 27.8 states/eV/f.u.
**Energy relative to the elements, uncorrected**: -1444 meV per atom
**E**: -6.928 eV per atom

Cell lengths 14.989, 14.989, 14.989 Å; angles 163.95, 163.95, 22.77 degrees
Atoms (fractional coordinates):
Ce 0.000 0.000 0.000
Ce 0.202 0.202 0.000
Ce 0.408 0.408 0.000
Ce 0.592 0.592 0.000
Ce 0.798 0.798 0.000
Os 0.500 0.500 0.000
Se 0.101 0.101 0.000
Se 0.304 0.304 0.000
Se 0.696 0.696 0.000
Se 0.899 0.899 0.000

=====

(20)
A geometry-optimized CeOsSe2 structure, computed with PBE.

**DOS at the Fermi energy**: 8.8 states/eV/f.u.
**Energy relative to the elements, uncorrected**: -558 meV per atom
**E**: -6.592 eV per atom

Cell lengths 6.040, 6.040, 6.040 Å; angles 39.98, 39.98, 39.98 degrees
Atoms (fractional coordinates):
Ce 0.000 0.000 0.000
Os 0.500 0.500 0.500
Se 0.229 0.229 0.229
Se 0.771 0.771 0.771